Entry 1:
Compound: CeTmInGe
Source: Alexandria via LeMat-Bulk
Functional: PBE
Structure: relaxed

As for the electronic total energy: -4.879 eV/atom. The formation energy comes out at -0.4390 eV per atom.

The space group is F-43m (No. 216) and the conventional cell measures 7.382, 7.382 and 7.382 Å, with angles of 90.00, 90.00 and 90.00 degrees. The asymmetric unit holds Ce at (0.000, 0.000, 0.000), Tm at (0.000, 0.000, 0.500), In at (0.250, 0.250, 0.250) and Ge at (0.250, 0.250, 0.750).

---

Entry 2:
Compound: CeYInGe
Source: Alexandria via LeMat-Bulk
Functional: PBE
Structure: relaxed

As for the electronic total energy: -5.400 eV/atom. The formation energy comes out at -0.4619 eV per atom.

The space group is F-43m (No. 216) and the conventional cell measures 7.435, 7.435 and 7.435 Å, with angles of 90.00, 90.00 and 90.00 degrees. The asymmetric unit holds Ce at (0.000, 0.000, 0.000), Y at (0.000, 0.000, 0.500), In at (0.250, 0.250, 0.250) and Ge at (0.250, 0.250, 0.750).

---

Entry 3:
Compound: CeZnInGe
Source: Alexandria via LeMat-Bulk
Functional: PBE
Structure: relaxed

As for the electronic total energy: -4.039 eV/atom. The formation energy comes out at -0.3982 eV per atom.

The space group is Pmmm (No. 47) and the conventional cell measures 4.212, 4.391 and 4.789 Å, with angles of 90.00, 90.00 and 90.00 degrees. The asymmetric unit holds Ce at (0.000, 0.000, 0.000), Zn at (0.500, 0.000, 0.500), In at (0.000, 0.500, 0.500) and Ge at (0.500, 0.500, 0.000).

---

Entry 4:
Compound: CeZnInGe
Source: Alexandria via LeMat-Bulk
Functional: PBE
Structure: relaxed

As for the electronic total energy: -3.906 eV/atom. The formation energy comes out at -0.2654 eV per atom.

The space group is F-43m (No. 216) and the conventional cell measures 7.061, 7.061 and 7.061 Å, with angles of 90.00, 90.00 and 90.00 degrees. The asymmetric unit holds Ce at (0.000, 0.000, 0.000), Zn at (0.250, 0.250, 0.750), In at (0.000, 0.000, 0.500) and Ge at (0.250, 0.250, 0.250).

---

Entry 5:
Compound: Ce6GeIr
Source: Alexandria via LeMat-Bulk
Functional: PBE
Structure: relaxed

As for the electronic total energy: -6.385 eV/atom. The formation energy comes out at -0.2496 eV per atom.

The space group is C2/m (No. 12) and the conventional cell measures 7.676, 9.327 and 6.292 Å, with angles of 90.00, 105.67 and 90.00 degrees. The asymmetric unit holds Ce at (0.130, 0.210, 0.309), Ce at (0.180, 0.500, 0.112), Ge at (0.000, 0.500, 0.500) and Ir at (0.000, 0.000, 0.000).

---

Entry 6:
Compound: Ce3GeIr
Source: Alexandria via LeMat-Bulk
Functional: PBE
Structure: relaxed

As for the electronic total energy: -6.779 eV/atom. The formation energy comes out at -0.5231 eV per atom.

The space group is P2_1/c (No. 14) and the conventional cell measures 9.422, 5.828 and 11.083 Å, with angles of 90.00, 123.15 and 90.00 degrees. The asymmetric unit holds Ce at (0.116, 0.106, 0.184), Ce at (0.267, 0.564, 0.437), Ce at (0.358, 0.001, 0.662), Ge at (0.003, 0.118, 0.395) and Ir at (0.432, 0.189, 0.414).